VASP calculation (GGA-PBE) on a relaxed structure of Li3CaIr.

extended XYZ file:
```
5
Lattice="4.7255 0.0000 0.0000 0.0000 4.7255 0.0000 0.0000 0.0000 4.7255" Properties=species:S:1:pos:R:3 pbc="T T T"
Li 0.0000 0.0000 2.3627
Li 0.0000 2.3627 0.0000
Li 2.3627 0.0000 0.0000
Ca 2.3627 2.3627 2.3627
Ir 0.0000 0.0000 0.0000
```

Results
ΔE_f, eV per atom: 0.134
Total DFT energy (no corrections), eV/f.u.: -15.9
Fermi-level density of states, states/eV per atom: 0.39


VASP calculation (GGA-PBE) on a relaxed structure of CeNd3Cd4.

extended XYZ file:
```
8
Lattice="3.8409 0.0000 0.0000 0.0000 3.8409 0.0000 0.0000 0.0000 15.4923" Properties=species:S:1:pos:R:3 pbc="T T T"
Ce 0.0000 0.0000 0.0000
Nd 0.0000 0.0000 3.8779
Nd 0.0000 0.0000 7.7461
Nd 0.0000 0.0000 11.6144
Cd 1.9204 1.9204 1.9488
Cd 1.9204 1.9204 5.8134
Cd 1.9204 1.9204 9.6789
Cd 1.9204 1.9204 13.5435
```

Results
ΔE_f, eV per atom: -0.266
Total DFT energy (no corrections), eV/f.u.: -26.0
Fermi-level density of states, states/eV per atom: 1.90


VASP calculation (GGA-PBE) on a relaxed structure of AgPRu2.

extended XYZ file:
```
4
Lattice="2.8640 0.0000 0.0000 0.0000 4.2308 0.0000 -1.4221 0.0000 5.1015" Properties=species:S:1:pos:R:3 pbc="T T T"
Ag 0.0000 0.0000 0.0000
P 1.4358 2.1154 1.5394
Ru 0.0036 2.1154 3.4531
Ru 1.4352 0.0000 2.4527
```

Results
ΔE_f, eV per atom: 0.231
Total DFT energy (no corrections), eV/f.u.: -25.9
Fermi-level density of states, states/eV per atom: 1.12


VASP calculation (GGA-PBE) on a relaxed structure of MgBiPt6.

extended XYZ file:
```
8
Lattice="4.0493 0.0000 0.0000 0.0000 4.0493 0.0000 0.0000 0.0000 8.1701" Properties=species:S:1:pos:R:3 pbc="T T T"
Mg 0.0000 0.0000 0.0000
Bi 0.0000 0.0000 4.0850
Pt 0.0000 2.0246 1.9151
Pt 0.0000 2.0246 6.2549
Pt 2.0246 0.0000 1.9151
Pt 2.0246 0.0000 6.2549
Pt 2.0246 2.0246 0.0000
Pt 2.0246 2.0246 4.0850
```

Results
ΔE_f, eV per atom: -0.358
Total DFT energy (no corrections), eV/f.u.: -44.6
Fermi-level density of states, states/eV per atom: 0.79